# 1
## Cs3Hg3Pt (PBE)

Data for an optimized crystal structure of Cs3Hg3Pt.

Geometry as extended XYZ:
```
7
Lattice="6.0880 3.5149 2.5623 -6.0880 3.5149 2.5623 0.0000 -7.0298 2.5623" Properties=species:S:1:pos:R:3 pbc="T T T"
Cs 0.0000 -2.7568 2.5623
Cs -2.3874 1.3784 2.5623
Cs 2.3874 1.3784 2.5623
Hg -4.2908 -2.4773 3.8157
Hg 4.2908 -2.4773 3.8157
Hg 0.0000 4.9546 3.8157
Pt 0.0000 0.0000 4.5369
```

Summary:
For the formation energy, the calculation gives -0.86 eV/f.u. For the energy above the lowest structure with this stoichiometry, the calculation gives 0.73 eV per formula unit. As for the space group: R3m. For the total energy, the calculation gives -1.4809 eV per atom.

---

# 2
## CsHg6Pt2 (PBE)

Data for an optimized crystal structure of CsHg6Pt2.

Geometry as extended XYZ:
```
9
Lattice="5.3787 0.0000 0.0000 0.0000 5.3787 0.0000 0.0000 0.0000 10.7548" Properties=species:S:1:pos:R:3 pbc="T T T"
Cs 0.0000 0.0000 0.0000
Hg 0.0000 2.6894 2.8941
Hg 0.0000 2.6894 7.8608
Hg 2.6894 0.0000 2.8941
Hg 2.6894 0.0000 7.8608
Hg 2.6894 2.6894 0.0000
Hg 2.6894 2.6894 5.3774
Pt 2.6894 2.6894 2.6907
Pt 2.6894 2.6894 8.0641
```

Summary:
For the formation energy, the calculation gives -1.72 eV/f.u. As for the space group: P4/mmm. For the total energy, the calculation gives -1.8293 eV per atom.

---

# 3
## CsHg2Pt2 (PBE)

Data for an optimized crystal structure of CsHg2Pt2.

Geometry as extended XYZ:
```
10
Lattice="8.5331 0.0000 0.0000 0.0000 8.5331 0.0000 0.0000 0.0000 3.1596" Properties=species:S:1:pos:R:3 pbc="T T T"
Cs 0.0000 0.0000 0.0000
Cs 4.2666 4.2666 0.0000
Hg 1.4569 2.8096 1.5798
Hg 2.8096 7.0762 1.5798
Hg 5.7235 1.4569 1.5798
Hg 7.0762 5.7235 1.5798
Pt 1.0293 5.2959 0.0000
Pt 3.2372 1.0293 0.0000
Pt 5.2959 7.5038 0.0000
Pt 7.5038 3.2372 0.0000
```

Summary:
For the formation energy, the calculation gives 0.38 eV/f.u. For the energy above the lowest structure with this stoichiometry, the calculation gives 0.40 eV per formula unit. As for the space group: P4/mbm. For the total energy, the calculation gives -2.6317 eV per atom.

---

# 4
## CsHg2Pt2 (PBE)

Data for an optimized crystal structure of CsHg2Pt2.

Geometry as extended XYZ:
```
10
Lattice="8.6971 0.0000 0.0000 0.0000 8.6971 0.0000 0.0000 0.0000 3.0764" Properties=species:S:1:pos:R:3 pbc="T T T"
Cs 0.0000 0.0000 0.0000
Cs 4.3486 4.3486 0.0000
Hg 1.1105 3.2381 0.0000
Hg 3.2381 7.5866 0.0000
Hg 5.4590 1.1105 0.0000
Hg 7.5866 5.4590 0.0000
Pt 1.4604 5.8090 1.5382
Pt 2.8881 1.4604 1.5382
Pt 5.8090 7.2367 1.5382
Pt 7.2367 2.8881 1.5382
```

Summary:
For the formation energy, the calculation gives 0.59 eV/f.u. For the energy above the lowest structure with this stoichiometry, the calculation gives 0.61 eV per formula unit. As for the space group: P4/mbm. For the total energy, the calculation gives -2.5906 eV per atom.

---

# 5
## Cs2Hg7Pt (PBE)

Data for an optimized crystal structure of Cs2Hg7Pt.

Geometry as extended XYZ:
```
10
Lattice="-3.9690 3.9690 5.5904 3.9690 -3.9690 5.5904 3.9690 3.9690 -5.5904" Properties=species:S:1:pos:R:3 pbc="T T T"
Cs 3.9690 0.0000 2.7952
Cs 0.0000 3.9690 2.7952
Hg 0.0000 0.0000 0.0000
Hg 0.0000 0.0000 2.8810
Hg 2.0478 2.0478 0.0000
Hg 1.9212 -1.9212 5.5904
Hg -1.9212 1.9212 5.5904
Hg 0.0000 0.0000 8.2997
Hg 1.9212 1.9212 5.5904
Pt 0.0000 0.0000 5.5904
```

Summary:
For the formation energy, the calculation gives -2.01 eV/f.u. As for the space group: I4/mmm. For the total energy, the calculation gives -1.1869 eV per atom.

---

# 6
## CsHgPt2 (PBE)

Data for an optimized crystal structure of CsHgPt2.

Geometry as extended XYZ:
```
12
Lattice="4.7519 0.0000 0.0000 -2.3760 4.1153 0.0000 0.0000 0.0000 19.1963" Properties=species:S:1:pos:R:3 pbc="T T T"
Cs 0.0000 0.0000 0.0000
Cs 0.0000 2.7435 12.7975
Cs 2.3760 1.3718 6.3988
Hg 0.0000 0.0000 9.5982
Hg 0.0000 2.7435 3.1994
Hg 2.3760 1.3718 15.9969
Pt 0.0000 0.0000 3.3081
Pt 0.0000 0.0000 15.8882
Pt 0.0000 2.7435 9.4894
Pt 0.0000 2.7435 16.1057
Pt 2.3760 1.3718 3.0906
Pt 2.3760 1.3718 9.7069
```

Summary:
For the formation energy, the calculation gives -0.62 eV/f.u. As for the space group: R-3m. For the total energy, the calculation gives -3.4649 eV per atom.

---

# 7
## CsHg2Pt2 (PBE)

Data for an optimized crystal structure of CsHg2Pt2.

Geometry as extended XYZ:
```
10
Lattice="4.8464 0.0000 0.0000 0.0000 4.8464 0.0000 0.0000 0.0000 11.2233" Properties=species:S:1:pos:R:3 pbc="T T T"
Cs 0.0000 0.0000 0.0000
Cs 2.4232 2.4232 5.6116
Hg 0.0000 2.4232 2.8058
Hg 0.0000 2.4232 8.4175
Hg 2.4232 0.0000 2.8058
Hg 2.4232 0.0000 8.4175
Pt 0.0000 0.0000 4.3237
Pt 0.0000 0.0000 6.8996
Pt 2.4232 2.4232 1.2879
Pt 2.4232 2.4232 9.9353
```

Summary:
For the formation energy, the calculation gives -0.02 eV/f.u. For the energy above the lowest structure with this stoichiometry, the calculation gives 0.00 eV per formula unit. As for the space group: I4/mmm. For the total energy, the calculation gives -2.7124 eV per atom.

---

# 8
## CsRbHg4Pt (PBE)

Data for an optimized crystal structure of CsRbHg4Pt.

Geometry as extended XYZ:
```
14
Lattice="3.8318 -9.2554 0.0000 3.8318 9.2554 0.0000 0.0000 0.0000 7.6930" Properties=species:S:1:pos:R:3 pbc="T T T"
Cs 3.8318 7.3869 5.7697
Cs 3.8318 -7.3869 1.9232
Rb 3.8318 2.0063 5.7697
Rb 3.8318 -2.0063 1.9232
Hg 1.9159 4.6277 0.0000
Hg 1.9159 4.6277 3.8465
Hg 3.8318 7.2571 1.9232
Hg 3.8318 1.7276 1.9232
Hg 1.9159 -4.6277 0.0000
Hg 1.9159 -4.6277 3.8465
Hg 3.8318 -1.7276 5.7697
Hg 3.8318 -7.2571 5.7697
Pt 3.8318 4.4876 1.9232
Pt 3.8318 -4.4876 5.7697
```

Summary:
For the formation energy, the calculation gives -1.77 eV/f.u. As for the space group: Cmcm. For the total energy, the calculation gives -1.5486 eV per atom.

---

# 9
## Cs2RbHgPt (PBE)

Data for an optimized crystal structure of Cs2RbHgPt.

Geometry as extended XYZ:
```
5
Lattice="6.8329 0.0000 0.0000 0.0000 6.8329 0.0000 0.0000 0.0000 5.4450" Properties=species:S:1:pos:R:3 pbc="T T T"
Cs 0.0000 3.4165 0.0000
Cs 3.4165 0.0000 0.0000
Rb 0.0000 0.0000 2.7225
Hg 3.4165 3.4165 2.7225
Pt 3.4165 3.4165 0.0000
```

Summary:
For the formation energy, the calculation gives -0.19 eV/f.u. For the energy above the lowest structure with this stoichiometry, the calculation gives 0.00 eV per formula unit. As for the space group: P4/mmm. For the total energy, the calculation gives -1.8415 eV per atom.

---

# 10
## Cs2RbHg7Pt2 (PBE)

Data for an optimized crystal structure of Cs2RbHg7Pt2.

Geometry as extended XYZ:
```
12
Lattice="3.8449 -3.8419 0.0000 3.8449 3.8419 0.0000 -3.7683 0.0000 14.9358" Properties=species:S:1:pos:R:3 pbc="T T T"
Cs -0.0200 0.0000 5.5142
Cs 3.9415 0.0000 9.4216
Rb 0.0000 0.0000 0.0000
Hg 1.8986 1.9233 2.7302
Hg 0.0976 0.0000 9.4369
Hg 2.0228 1.9233 12.2056
Hg 3.8449 0.0000 0.0000
Hg 1.8986 -1.9233 2.7302
Hg 3.8239 0.0000 5.4989
Hg 2.0228 -1.9233 12.2056
Pt 0.1030 0.0000 12.2057
Pt 3.8185 0.0000 2.7301
```

Summary:
For the formation energy, the calculation gives -3.32 eV/f.u. As for the space group: C2/m. For the total energy, the calculation gives -1.6826 eV per atom.

---

# 11
## CsRb2HgPt (PBE)

Data for an optimized crystal structure of CsRb2HgPt.

Geometry as extended XYZ:
```
5
Lattice="6.4742 0.0000 0.0000 0.0000 6.4742 0.0000 0.0000 0.0000 5.5525" Properties=species:S:1:pos:R:3 pbc="T T T"
Cs 0.0000 0.0000 0.0000
Rb 0.0000 3.2371 2.7762
Rb 3.2371 0.0000 2.7762
Hg 3.2371 3.2371 0.0000
Pt 3.2371 3.2371 2.7762
```

Summary:
For the formation energy, the calculation gives -0.13 eV/f.u. For the energy above the lowest structure with this stoichiometry, the calculation gives 0.00 eV per formula unit. As for the space group: P4/mmm. For the total energy, the calculation gives -1.8531 eV per atom.

---

# 12
## CsRb2HgPt (PBE)

Data for an optimized crystal structure of CsRb2HgPt.

Geometry as extended XYZ:
```
5
Lattice="6.4132 0.0000 0.0000 0.0000 6.4132 0.0000 0.0000 0.0000 6.6030" Properties=species:S:1:pos:R:3 pbc="T T T"
Cs 0.0000 0.0000 0.0000
Rb 0.0000 3.2066 3.3015
Rb 3.2066 0.0000 3.3015
Hg 3.2066 3.2066 0.0000
Pt 0.0000 0.0000 3.3015
```

Summary:
For the formation energy, the calculation gives 0.12 eV/f.u. For the energy above the lowest structure with this stoichiometry, the calculation gives 0.25 eV per formula unit. As for the space group: P4/mmm. For the total energy, the calculation gives -1.8023 eV per atom.